Record 1
A plane-wave DFT calculation with PBE-GGA was carried out for crystalline Ac2HPbO at its relaxed geometry.

a = 7.8043 Å, b = 7.8043 Å, c = 7.8043 Å
α = 149.13°, β = 149.13°, γ = 44.23°
Last column: nearest neighbours and their distance in Å.
Element x y z (fractional)
Ac 0.1526 0.1526 0.0000  2 O 2.51, 2 H 2.51
Ac 0.8474 0.8474 0.0000  2 O 2.51, 2 H 2.51
H 0.2500 0.7500 0.5000  4 Ac 2.51
Pb 0.5000 0.5000 0.0000  8 Ac 3.67
O 0.7500 0.2500 0.5000  4 Ac 2.51

Calculated values
The calculation puts the total magnetic moment at 0.00 Bohr magnetons per cell. The value obtained for the total energy is -5.584 eV/atom. As for the density of states at the Fermi level: 0.61 states/eV/atom.



Record 2
A plane-wave DFT calculation with PBE-GGA was carried out for crystalline Ac2HPbO6 at its relaxed geometry.

a = 6.3393 Å, b = 4.1422 Å, c = 12.4174 Å
α = 90.00°, β = 118.63°, γ = 90.00°
Last column: nearest neighbours and their distance in Å.
Element x y z (fractional)
Ac 0.1786 0.1537 0.1820  1 H 2.45, 7 O 2.53-2.66
Ac 0.1786 0.3463 0.6820  1 H 2.45, 7 O 2.53-2.66
Ac 0.8214 0.6537 0.3180  1 H 2.45, 7 O 2.53-2.66
Ac 0.8214 0.8463 0.8180  1 H 2.45, 7 O 2.53-2.66
H 0.0000 0.0000 0.5000  2 O 1.24
H 0.0000 0.5000 0.0000  2 O 1.24
Pb 0.5000 0.0000 0.0000  4 O 2.18-2.19
Pb 0.5000 0.5000 0.5000  4 O 2.18-2.19
O 0.0993 0.1978 0.4634  1 H 1.24
O 0.0993 0.3022 0.9634  1 H 1.24
O 0.2225 0.6641 0.3210  1 Pb 2.18
O 0.2225 0.8359 0.8210  1 Pb 2.18
O 0.4144 0.7279 0.1251  1 Pb 2.19
O 0.4144 0.7721 0.6251  1 Pb 2.19
O 0.5856 0.2279 0.3749  1 Pb 2.19
O 0.5856 0.2721 0.8749  1 Pb 2.19
O 0.7775 0.1641 0.1790  1 Pb 2.18
O 0.7775 0.3359 0.6790  1 Pb 2.18
O 0.9006 0.6978 0.0366  1 H 1.24
O 0.9006 0.8022 0.5366  1 H 1.24

Calculated values
The calculation puts the total magnetic moment at 2.06 Bohr magnetons per cell. The value obtained for the total energy is -6.423 eV/atom. As for the density of states at the Fermi level: 0.25 states/eV/atom.



Record 3
A plane-wave DFT calculation with PBE-GGA was carried out for crystalline Ac2HPdO6 at its relaxed geometry.

a = 5.6743 Å, b = 5.6743 Å, c = 5.4840 Å
α = 117.32°, β = 117.32°, γ = 55.40°
Last column: nearest neighbours and their distance in Å.
Element x y z (fractional)
Ac 0.2432 0.2432 0.2346  7 O 2.53-2.68
Ac 0.7568 0.7568 0.7654  7 O 2.53-2.68
H 0.5000 0.5000 0.0000  4 O 1.80
Pd 0.0000 0.0000 0.5000  6 O 2.01-2.03
O 0.2330 0.2330 0.6859  1 Pd 2.01
O 0.2363 0.7074 0.2069  1 H 1.80
O 0.2926 0.7637 0.7931  1 H 1.80
O 0.7074 0.2363 0.2069  1 H 1.80
O 0.7637 0.2926 0.7931  1 H 1.80
O 0.7670 0.7670 0.3141  1 Pd 2.01

Calculated values
The calculation puts the total magnetic moment at 0.99 Bohr magnetons per cell. The value obtained for the total energy is -6.285 eV/atom. As for the density of states at the Fermi level: 0.45 states/eV/atom.



Record 4
A plane-wave DFT calculation with PBE-GGA was carried out for crystalline AcH2PdO4 at its relaxed geometry.

a = 5.0556 Å, b = 5.0556 Å, c = 5.0556 Å
α = 120.91°, β = 111.79°, γ = 96.61°
Last column: nearest neighbours and their distance in Å.
Element x y z (fractional)
Ac 0.0000 0.0000 0.0000  8 O 2.57-2.82
H 0.3143 0.8143 0.5000  2 O 1.20
H 0.6857 0.1857 0.5000  2 O 1.20
Pd 0.5000 0.5000 0.0000  4 O 2.02
O 0.2055 0.0186 0.6118  1 H 1.20
O 0.4068 0.5938 0.3882  1 H 1.20
O 0.5932 0.9814 0.1870  1 H 1.20
O 0.7945 0.4062 0.8130  1 H 1.20

Calculated values
The calculation puts the total magnetic moment at 1.06 Bohr magnetons per cell. The value obtained for the total energy is -5.893 eV/atom. As for the density of states at the Fermi level: 0.54 states/eV/atom.



Record 5
A plane-wave DFT calculation with PBE-GGA was carried out for crystalline Ac2HPtO6 at its relaxed geometry.

a = 5.4290 Å, b = 5.4059 Å, c = 10.0476 Å
α = 90.00°, β = 121.45°, γ = 90.00°
Last column: nearest neighbours and their distance in Å.
Element x y z (fractional)
Ac 0.2392 0.0271 0.2480  8 O 2.55-2.82
Ac 0.2392 0.4729 0.7480  8 O 2.55-2.82
Ac 0.7608 0.5271 0.2520  8 O 2.55-2.82
Ac 0.7608 0.9729 0.7520  8 O 2.55-2.82
H 0.0000 0.0000 0.5000  4 O 1.86-1.89
H 0.0000 0.5000 0.0000  4 O 1.86-1.89
Pt 0.5000 0.0000 0.0000  6 O 2.02-2.04
Pt 0.5000 0.5000 0.5000  6 O 2.02-2.04
O 0.1759 0.2186 0.9736  1 H 1.89, 1 Pt 2.02
O 0.1759 0.2814 0.4736  1 H 1.89, 1 Pt 2.02
O 0.2598 0.6974 0.9800  1 H 1.86, 1 Pt 2.04
O 0.2598 0.8026 0.4800  1 H 1.86, 1 Pt 2.04
O 0.3044 0.5102 0.2658  1 Pt 2.02
O 0.3044 0.9898 0.7658  1 Pt 2.02
O 0.6956 0.0102 0.2342  1 Pt 2.02
O 0.6956 0.4898 0.7342  1 Pt 2.02
O 0.7402 0.1974 0.5200  1 H 1.86, 1 Pt 2.04
O 0.7402 0.3026 0.0200  1 H 1.86, 1 Pt 2.04
O 0.8241 0.7186 0.5264  1 H 1.89, 1 Pt 2.02
O 0.8241 0.7814 0.0264  1 H 1.89, 1 Pt 2.02

Calculated values
The calculation puts the total magnetic moment at 1.04 Bohr magnetons per cell. The value obtained for the total energy is -6.443 eV/atom. As for the density of states at the Fermi level: 0.84 states/eV/atom.



Record 6
A plane-wave DFT calculation with PBE-GGA was carried out for crystalline AcH2PtO4 at its relaxed geometry.

a = 5.0951 Å, b = 5.0951 Å, c = 5.0951 Å
α = 120.91°, β = 112.88°, γ = 95.60°
Last column: nearest neighbours and their distance in Å.
Element x y z (fractional)
Ac 0.0000 0.0000 0.0000  4 O 2.56
H 0.3114 0.8114 0.5000  2 O 1.20
H 0.6886 0.1886 0.5000  2 O 1.20
Pt 0.5000 0.5000 0.0000  4 O 2.01
O 0.2188 0.0221 0.6335  1 H 1.20
O 0.3885 0.5853 0.3665  1 H 1.20
O 0.6115 0.9779 0.1967  1 H 1.20
O 0.7812 0.4147 0.8033  1 H 1.20

Calculated values
The calculation puts the total magnetic moment at 1.06 Bohr magnetons per cell. The value obtained for the total energy is -6.004 eV/atom. As for the density of states at the Fermi level: 0.49 states/eV/atom.



Record 7
A plane-wave DFT calculation with PBE-GGA was carried out for crystalline Ac2PuH2O6 at its relaxed geometry.

a = 6.3720 Å, b = 6.3720 Å, c = 6.3720 Å
α = 50.27°, β = 50.27°, γ = 50.27°
Last column: nearest neighbours and their distance in Å.
Element x y z (fractional)
Ac 0.2203 0.2203 0.2203  9 O 2.74-2.75
Ac 0.7797 0.7797 0.7797  9 O 2.74-2.75
Pu 0.0000 0.0000 0.0000  6 O 2.20
H 0.4242 0.4242 0.4242  3 O 1.48
H 0.5758 0.5758 0.5758  3 O 1.48
O 0.2635 0.2635 0.7371  1 H 1.48
O 0.2635 0.7371 0.2635  1 H 1.48
O 0.2629 0.7365 0.7365  1 H 1.48
O 0.7371 0.2635 0.2635  1 H 1.48
O 0.7365 0.2629 0.7365  1 H 1.48
O 0.7365 0.7365 0.2629  1 H 1.48

Calculated values
The calculation puts the total magnetic moment at 4.00 Bohr magnetons per cell. The value obtained for the total energy is -7.588 eV/atom. As for the density of states at the Fermi level: 0.32 states/eV/atom.



Record 8
A plane-wave DFT calculation with PBE-GGA was carried out for crystalline AcPuH2O6 at its relaxed geometry.

a = 5.0399 Å, b = 5.6352 Å, c = 5.8960 Å
α = 66.88°, β = 72.84°, γ = 67.21°
Last column: nearest neighbours and their distance in Å.
Element x y z (fractional)
Ac 0.0000 0.0000 0.0000  6 O 2.49-2.58
Pu 0.5000 0.5000 0.5000  4 O 1.92-1.93
H 0.0646 0.3233 0.2843  1 O 0.99
H 0.9354 0.6767 0.7157  1 O 0.99
O 0.1008 0.7262 0.7227  1 H 0.99
O 0.2585 0.5308 0.2862  1 H 1.80, 1 Pu 1.92
O 0.4392 0.1634 0.7284  1 Pu 1.93
O 0.5608 0.8366 0.2716  1 Pu 1.93
O 0.7415 0.4692 0.7138  1 H 1.80, 1 Pu 1.92
O 0.8992 0.2738 0.2773  1 H 0.99

Calculated values
The calculation puts the total magnetic moment at 1.00 Bohr magnetons per cell. The value obtained for the total energy is -7.717 eV/atom.



Record 9
A plane-wave DFT calculation with PBE-GGA was carried out for crystalline Rb2AcH2O4 at its relaxed geometry.

a = 6.9918 Å, b = 6.9918 Å, c = 6.8683 Å
α = 108.35°, β = 108.35°, γ = 30.86°
Last column: nearest neighbours and their distance in Å.
Element x y z (fractional)
Rb 0.1449 0.1449 0.0779  5 O 2.86-3.15, 2 H 2.92
Rb 0.8551 0.8551 0.9221  5 O 2.86-3.15, 2 H 2.92
Ac 0.0000 0.0000 0.5000  6 O 2.46-2.57
H 0.2385 0.2385 0.6017  1 O 0.98
H 0.7615 0.7615 0.3983  1 O 0.98
O 0.1981 0.1981 0.6964  1 H 0.98
O 0.4837 0.4837 0.7210  2 Ac 2.46
O 0.5163 0.5163 0.2790  2 Ac 2.46
O 0.8019 0.8019 0.3036  1 H 0.98

Calculated values
The calculation puts the total magnetic moment at 1.07 Bohr magnetons per cell. The value obtained for the total energy is -5.260 eV/atom. As for the density of states at the Fermi level: 0.55 states/eV/atom.



Record 10
A plane-wave DFT calculation with PBE-GGA was carried out for crystalline Ac2ReHO6 at its relaxed geometry.

a = 5.2515 Å, b = 5.8526 Å, c = 6.0155 Å
α = 63.49°, β = 65.76°, γ = 64.14°
Last column: nearest neighbours and their distance in Å.
Element x y z (fractional)
Ac 0.0000 0.0000 0.0000  6 O 2.47-2.72
Ac 0.4756 0.5665 0.5057  6 O 2.45-2.74
Re 0.2389 0.2852 0.2639  5 O 1.88-2.06
H 0.6345 0.9859 0.5870  1 O 0.99
O 0.0226 0.6084 0.3986  1 Re 2.06
O 0.1143 0.5026 0.9626  1 Re 1.88
O 0.4346 0.9990 0.6011  1 H 0.99
O 0.4536 0.9708 0.1247  1 Re 2.04
O 0.5921 0.3691 0.1527  1 Re 1.90
O 0.9331 0.1346 0.5323  1 Re 1.95, 1 H 1.96

Calculated values
The calculation puts the total magnetic moment at 2.00 Bohr magnetons per cell. The value obtained for the total energy is -7.731 eV/atom.



Record 11
A plane-wave DFT calculation with PBE-GGA was carried out for crystalline AcReHO6 at its relaxed geometry.

a = 5.1596 Å, b = 5.1874 Å, c = 5.2784 Å
α = 83.27°, β = 85.87°, γ = 67.64°
Last column: nearest neighbours and their distance in Å.
Element x y z (fractional)
Ac 0.0000 0.0000 0.0000  8 O 2.54-2.80
Re 0.3750 0.3234 0.5709  4 O 1.76-1.90
H 0.5840 0.7675 0.8061  1 O 0.99
O 0.1251 0.1662 0.5342  1 Re 1.80
O 0.1309 0.4780 0.8806  1 Re 2.04, 1 O 2.27
O 0.2471 0.6346 0.3659  1 Re 1.76
O 0.5344 0.9509 0.8745  1 H 0.99
O 0.5835 0.4284 0.7945  1 H 1.77, 1 Re 1.90
O 0.6623 0.1174 0.3830  1 Re 1.78

Calculated values
The calculation puts the total magnetic moment at 1.05 Bohr magnetons per cell. The value obtained for the total energy is -7.403 eV/atom.